(1)
DFT (PBE-GGA) results for an optimized crystal structure of MgRe2Rh.

Unit cell a=3.0579 b=4.2343 c=4.6529 alpha=90.00 beta=90.00 gamma=90.00
Last column: nearest neighbours and their distance in Å.
Space group Pmmm (No. 47)
Unique sites:
Mg 0.0000 0.0000 0.0000  4 Rh 2.61, 4 Re 2.78
Re 0.0000 0.5000 0.5000  4 Re 2.61, 4 Rh 2.78
Re 0.5000 0.0000 0.5000  4 Re 2.61, 4 Mg 2.78
Rh 0.5000 0.5000 0.0000  4 Mg 2.61, 4 Re 2.78

Raw total energy: -8.385 eV/atom
Formation enthalpy at 0 K: 0.076 eV per atom

---

(2)
DFT (PBE-GGA) results for an optimized crystal structure of MgReRh2.

Unit cell a=2.7870 b=4.4401 c=10.0592 alpha=90.00 beta=90.00 gamma=90.00
Last column: nearest neighbours and their distance in Å.
Space group Imm2 (No. 44)
Unique sites:
Mg 0.0000 0.0000 0.0000  4 Rh 2.62, 2 Mg 2.79
Re 0.0000 0.5000 0.7766  6 Rh 2.55-2.68, 2 Re 2.79
Rh 0.0000 0.0000 0.4884  2 Re 2.55, 4 Mg 2.62, 4 Rh 2.72-2.79
Rh 0.0000 0.5000 0.2206  4 Re 2.68, 4 Rh 2.72-2.79

Raw total energy: -7.225 eV/atom
Formation enthalpy at 0 K: -0.039 eV per atom

---

(3)
DFT (PBE-GGA) results for an optimized crystal structure of MgRe2RhS.

Unit cell a=4.6864 b=4.6864 c=4.7999 alpha=90.00 beta=90.00 gamma=90.00
Last column: nearest neighbours and their distance in Å.
Space group P4/mmm (No. 123)
Unique sites:
Mg 0.0000 0.0000 0.0000  2 Rh 2.40
Re 0.0000 0.5000 0.5000  2 Rh 2.34
Rh 0.0000 0.0000 0.5000  4 Re 2.34, 2 Mg 2.40
S 0.5000 0.5000 0.0000  4 Mg 3.31, 8 Re 3.35

Raw total energy: -5.920 eV/atom
Formation energy from raw total energies: 1.67 eV/atom

---

(4)
DFT (PBE-GGA) results for an optimized crystal structure of MgReTcRh.

Unit cell a=6.1937 b=6.1937 c=6.1937 alpha=90.00 beta=90.00 gamma=90.00
Last column: nearest neighbours and their distance in Å.
Space group F-43m (No. 216)
Unique sites:
Mg 0.0000 0.0000 0.0000  4 Tc 2.68, 4 Rh 2.68
Re 0.0000 0.0000 0.5000  4 Rh 2.68, 4 Tc 2.68
Tc 0.2500 0.2500 0.7500  4 Re 2.68, 4 Mg 2.68
Rh 0.2500 0.2500 0.2500  4 Re 2.68, 4 Mg 2.68

Raw total energy: -7.921 eV/atom
Formation enthalpy at 0 K: 0.019 eV per atom

---

(5)
DFT (PBE-GGA) results for an optimized crystal structure of Mg2TiReRh.

Unit cell a=4.9703 b=4.9703 c=4.4557 alpha=90.00 beta=90.00 gamma=90.00
Last column: nearest neighbours and their distance in Å.
Space group P4/mmm (No. 123)
Unique sites:
Mg 0.0000 0.5000 0.0000  2 Re 2.49
Ti 0.0000 0.0000 0.5000  2 Re 2.23
Re 0.0000 0.0000 0.0000  2 Ti 2.23, 4 Mg 2.49
Rh 0.5000 0.5000 0.5000  8 Mg 3.34, 4 Ti 3.51

Raw total energy: -5.172 eV/atom
Formation enthalpy at 0 K: 1.005 eV per atom

---

(6)
DFT (PBE-GGA) results for an optimized crystal structure of MgReRu.

Unit cell a=2.8104 b=2.8104 c=6.8533 alpha=90.00 beta=90.00 gamma=120.00
Last column: nearest neighbours and their distance in Å.
Space group P3m1 (No. 156)
Unique sites:
Mg 0.0000 0.0000 0.0000  6 Mg 2.81, 3 Ru 2.87, 3 Re 2.94
Re 0.3333 0.6667 0.3581  3 Ru 2.60, 6 Re 2.81
Ru 0.6667 0.3333 0.6546  3 Re 2.60, 6 Ru 2.81, 3 Mg 2.87

Raw total energy: -7.646 eV/atom
Formation enthalpy at 0 K: 0.126 eV per atom
Excess energy over the best structure of this formula in the dataset: 0.1415 eV per atom

---

(7)
DFT (PBE-GGA) results for an optimized crystal structure of Mg4ReRu.

Unit cell a=7.4158 b=7.4158 c=7.4158 alpha=90.00 beta=90.00 gamma=90.00
Last column: nearest neighbours and their distance in Å.
Space group F-43m (No. 216)
Unique sites:
Mg 0.1247 0.1247 0.1247  6 Mg 2.61-2.63
Re 0.2500 0.2500 0.7500  12 Mg 3.07, 4 Ru 3.21
Ru 0.0000 0.0000 0.5000  12 Mg 3.08, 4 Re 3.21

Raw total energy: -3.972 eV/atom
Formation enthalpy at 0 K: 0.712 eV per atom

---

(8)
DFT (PBE-GGA) results for an optimized crystal structure of Mg2ReRu2.

Unit cell a=6.3380 b=6.3380 c=4.3474 alpha=90.00 beta=90.00 gamma=90.00
Last column: nearest neighbours and their distance in Å.
Space group P4/mbm (No. 127)
Unique sites:
Mg 0.1744 0.3256 0.0000  6 Ru 2.76-2.94
Re 0.0000 0.0000 0.5000  4 Ru 2.47
Ru 0.1351 0.6351 0.5000  1 Ru 2.42, 2 Re 2.47

Raw total energy: -6.605 eV/atom
Formation enthalpy at 0 K: 0.233 eV per atom

---

(9)
DFT (PBE-GGA) results for an optimized crystal structure of MgRe2Ru2.

Unit cell a=7.5979 b=7.5979 c=2.7646 alpha=90.00 beta=90.00 gamma=90.00
Last column: nearest neighbours and their distance in Å.
Space group P4/mbm (No. 127)
Unique sites:
Mg 0.0000 0.0000 0.0000  2 Mg 2.76, 4 Ru 3.00
Re 0.1650 0.3350 0.5000  6 Ru 2.63, 2 Re 2.76
Ru 0.1263 0.6263 0.0000  6 Re 2.63, 3 Ru 2.71-2.76

Raw total energy: -8.843 eV/atom
Formation enthalpy at 0 K: 0.165 eV per atom

---

(10)
DFT (PBE-GGA) results for an optimized crystal structure of MgReRu.

Unit cell a=2.8478 b=2.8478 c=11.8035 alpha=90.00 beta=90.00 gamma=90.00
Last column: nearest neighbours and their distance in Å.
Space group P4/nmm (No. 129, origin choice 2)
Unique sites:
Mg 0.2500 0.2500 0.1088  4 Ru 2.78, 4 Mg 2.85
Re 0.2500 0.2500 0.4153  4 Ru 2.64, 8 Re 2.84-2.85
Ru 0.2500 0.2500 0.7290  4 Re 2.64, 4 Mg 2.78, 4 Ru 2.85

Raw total energy: -7.788 eV/atom
Formation enthalpy at 0 K: -0.015 eV per atom
Excess energy over the best structure of this formula in the dataset: 0.0000 eV per atom

---

(11)
DFT (PBE-GGA) results for an optimized crystal structure of MgReRu.

Unit cell a=2.9495 b=4.6283 c=13.6811 alpha=90.00 beta=90.00 gamma=90.00
Last column: nearest neighbours and their distance in Å.
Space group Fmm2 (No. 42)
Unique sites:
Mg 0.0000 0.0000 0.0000  2 Ru 2.74, 6 Mg 2.74-2.95, 2 Re 2.84
Re 0.0000 0.0000 0.3225  2 Ru 2.57, 4 Re 2.74, 2 Mg 2.84
Ru 0.0000 0.0000 0.6687  2 Re 2.57, 2 Mg 2.74, 4 Ru 2.74

Raw total energy: -7.499 eV/atom
Formation enthalpy at 0 K: 0.274 eV per atom
Excess energy over the best structure of this formula in the dataset: 0.2891 eV per atom

---

(12)
DFT (PBE-GGA) results for an optimized crystal structure of MgReRu3.

Unit cell a=4.6822 b=4.6822 c=4.6822 alpha=90.00 beta=90.00 gamma=90.00
Last column: nearest neighbours and their distance in Å.
Space group Pm-3m (No. 221)
Unique sites:
Mg 0.0000 0.0000 0.0000  12 Ru 3.31
Re 0.5000 0.5000 0.5000  6 Ru 2.34
Ru 0.0000 0.5000 0.5000  2 Re 2.34

Raw total energy: -7.115 eV/atom
Formation enthalpy at 0 K: 1.259 eV per atom

---

(13)
DFT (PBE-GGA) results for an optimized crystal structure of MgReRu.

Unit cell a=2.9466 b=2.9466 c=10.5157 alpha=90.00 beta=90.00 gamma=90.00
Last column: nearest neighbours and their distance in Å.
Space group I4mm (No. 107)
Unique sites:
Mg 0.0000 0.0000 0.0000  4 Ru 2.75, 4 Re 2.83, 4 Mg 2.95
Re 0.0000 0.0000 0.6816  4 Ru 2.60, 4 Mg 2.83
Ru 0.0000 0.0000 0.3289  4 Re 2.60, 4 Mg 2.75

Raw total energy: -7.721 eV/atom
Formation enthalpy at 0 K: 0.052 eV per atom
Excess energy over the best structure of this formula in the dataset: 0.0673 eV per atom

---

(14)
DFT (PBE-GGA) results for an optimized crystal structure of MgReRu.

Unit cell a=5.9481 b=5.9481 c=5.9481 alpha=90.00 beta=90.00 gamma=90.00
Last column: nearest neighbours and their distance in Å.
Space group F-43m (No. 216)
Unique sites:
Mg 0.0000 0.0000 0.0000  4 Ru 2.58
Re 0.0000 0.0000 0.5000  4 Ru 2.58
Ru 0.2500 0.2500 0.7500  4 Re 2.58, 4 Mg 2.58

Raw total energy: -7.324 eV/atom
Formation enthalpy at 0 K: 0.449 eV per atom
Excess energy over the best structure of this formula in the dataset: 0.4636 eV per atom

---

(15)
DFT (PBE-GGA) results for an optimized crystal structure of MgRe4Ru.

Unit cell a=7.3134 b=7.3134 c=7.3134 alpha=90.00 beta=90.00 gamma=90.00
Last column: nearest neighbours and their distance in Å.
Space group F-43m (No. 216)
Unique sites:
Mg 0.0000 0.0000 0.0000  12 Re 3.03, 4 Ru 3.17
Re 0.1259 0.1259 0.3741  6 Re 2.57-2.60
Ru 0.2500 0.2500 0.7500  12 Re 3.03, 4 Mg 3.17

Raw total energy: -9.733 eV/atom
Formation enthalpy at 0 K: 0.378 eV per atom

---

(16)
DFT (PBE-GGA) results for an optimized crystal structure of MgRe2SbRu.

Unit cell a=4.7196 b=4.7196 c=4.7712 alpha=90.00 beta=90.00 gamma=90.00
Last column: nearest neighbours and their distance in Å.
Space group P4/mmm (No. 123)
Unique sites:
Mg 0.0000 0.0000 0.0000  2 Ru 2.39
Re 0.0000 0.5000 0.5000  2 Ru 2.36
Sb 0.5000 0.5000 0.0000  4 Mg 3.34, 8 Re 3.36
Ru 0.0000 0.0000 0.5000  4 Re 2.36, 2 Mg 2.39

Raw total energy: -6.638 eV/atom
Formation energy from raw total energies: 1.34 eV/atom

---

(17)
DFT (PBE-GGA) results for an optimized crystal structure of SrMg2ReRu.

Unit cell a=5.0272 b=5.0272 c=4.7761 alpha=90.00 beta=90.00 gamma=90.00
Last column: nearest neighbours and their distance in Å.
Space group P4/mmm (No. 123)
Unique sites:
Sr 0.0000 0.0000 0.0000  8 Mg 3.47, 4 Re 3.55
Mg 0.0000 0.5000 0.5000  2 Ru 2.51
Re 0.5000 0.5000 0.0000  2 Ru 2.39
Ru 0.5000 0.5000 0.5000  2 Re 2.39, 4 Mg 2.51

Raw total energy: -4.851 eV/atom
Formation enthalpy at 0 K: 0.468 eV per atom

---

(18)
DFT (PBE-GGA) results for an optimized crystal structure of Mg3ReS.

Unit cell a=5.1187 b=5.1187 c=5.1187 alpha=90.00 beta=90.00 gamma=90.00
Last column: nearest neighbours and their distance in Å.
Space group Pm-3m (No. 221)
Unique sites:
Mg 0.0000 0.0000 0.5000  2 Re 2.56
Re 0.0000 0.0000 0.0000  6 Mg 2.56
S 0.5000 0.5000 0.5000  12 Mg 3.62

Raw total energy: -3.183 eV/atom
Formation energy from raw total energies: 1.09 eV/atom
Excess energy over the best structure of this formula in the dataset: 0.4689 eV per atom

---

(19)
DFT (PBE-GGA) results for an optimized crystal structure of Mg3ReS.

Unit cell a=4.7112 b=4.7112 c=4.7112 alpha=90.00 beta=90.00 gamma=90.00
Last column: nearest neighbours and their distance in Å.
Space group Pm-3m (No. 221)
Unique sites:
Mg 0.0000 0.0000 0.5000  2 S 2.36
Re 0.5000 0.5000 0.5000  12 Mg 3.33
S 0.0000 0.0000 0.0000  6 Mg 2.36

Raw total energy: -3.652 eV/atom
Formation energy from raw total energies: 0.62 eV/atom
Excess energy over the best structure of this formula in the dataset: 0.0000 eV per atom

---

(20)
DFT (PBE-GGA) results for an optimized crystal structure of MgRe4S8.

Unit cell a=6.3542 b=6.3542 c=20.7553 alpha=90.00 beta=90.00 gamma=120.00
Last column: nearest neighbours and their distance in Å.
Space group R-3m (No. 166, hexagonal axes)
Unique sites:
Mg 0.0000 0.0000 0.0000  6 S 2.61
Re 0.0000 0.0000 0.5000  6 S 2.44
Re 0.0000 0.5000 0.5000  6 S 2.43
S 0.0000 0.0000 0.2431  3 Re 2.43
S 0.0014 0.5007 0.7564  3 Re 2.43-2.44, 1 Mg 2.61

Raw total energy: -6.766 eV/atom
Formation energy from raw total energies: -0.27 eV/atom